The following is a DFT calculation (GGA-PBE) of an optimized crystal structure of BaNa2H6Rh.

- Total energy: -3.539 eV/atom
- Theoretical density: 3.0 g/cm3
- V: 159.6 Å³/cell
- Space group: P-3m1 (164)

extended XYZ file:
```
10
Lattice="-1.5202 2.0119 -6.3179 2.7169 -3.9994 -1.9273 -5.0690 -0.5586 1.0418" Properties=species:S:1:pos:R:3 pbc="T T T"
H -0.1717 -0.9692 -1.3552
H -5.2097 0.6446 -4.7777
H -1.4782 -3.5011 -1.8470
H -2.3941 0.9549 -5.3564
H 1.3374 -3.1908 -2.4257
H -3.7005 -1.5770 -5.8483
Na -2.6110 -1.5238 -0.5185
Na -1.2613 -1.0223 -6.6849
Ba -0.7601 1.0059 -3.1590
Rh 0.0000 0.0000 0.0000
```